A relaxed structure of PrTmAgRu, computed with GGA-PBE.

Cell and atoms, written as extended XYZ:
```
4
Lattice="5.034 0.000 0.000 2.517 4.360 0.000 2.517 1.453 4.110" Properties=species:S:1:pos:R:3 pbc="T T T"
Pr 0.000 0.000 0.000
Ru 7.551 4.360 3.083
Tm 5.034 2.907 2.055
Ag 2.517 1.453 1.028
```

Properties
**E above lowest polymorph**: 0.081 eV/atom
**V**: 90.2 Å³/cell
**Space-group type**: F-43m, No. 216


A relaxed structure of PrYAgRu, computed with GGA-PBE.

Cell and atoms, written as extended XYZ:
```
4
Lattice="5.071 0.000 0.000 2.535 4.392 0.000 2.535 1.464 4.140" Properties=species:S:1:pos:R:3 pbc="T T T"
Pr 0.000 0.000 0.000
Ru 7.606 4.392 3.105
Y 5.071 2.928 2.070
Ag 2.535 1.464 1.035
```

Properties
**V**: 92.2 Å³/cell
**E**: -24.30 eV per formula unit
**Space-group type**: F-43m, No. 216


A relaxed structure of Pr2Zn5AgRu2, computed with GGA-PBE.

Cell and atoms, written as extended XYZ:
```
20
Lattice="3.506 0.000 0.000 0.000 10.349 0.000 0.000 0.000 10.349" Properties=species:S:1:pos:R:3 pbc="T T T"
Pr 0.000 7.063 1.888
Pr 0.000 3.286 8.460
Pr 0.000 1.888 3.286
Pr 0.000 8.460 7.063
Zn 1.753 2.045 0.542
Zn 1.753 8.303 9.806
Zn 1.753 0.542 8.303
Zn 1.753 7.219 4.632
Zn 1.753 9.806 2.045
Zn 1.753 3.129 5.716
Zn 1.753 5.716 7.219
Zn 1.753 4.632 3.129
Zn 1.753 5.174 0.000
Zn 1.753 0.000 5.174
Ag 0.000 0.000 0.000
Ag 0.000 5.174 5.174
Ru 0.000 1.329 6.504
Ru 0.000 9.019 3.845
Ru 0.000 6.504 9.019
Ru 0.000 3.845 1.329
```

Properties
**V**: 375.4 Å³/cell
**E**: -38.60 eV per formula unit
**Space-group type**: P4/mbm, No. 127


A relaxed structure of Pr2AgS4, computed with GGA-PBE.

Cell and atoms, written as extended XYZ:
```
14
Lattice="-0.917 -4.812 -5.084 5.643 -0.727 -0.330 -0.109 -4.106 7.177" Properties=species:S:1:pos:R:3 pbc="T T T"
Pr 3.520 -4.547 -3.609
Pr 1.096 -5.097 5.373
Pr 1.147 -3.111 1.870
Pr 3.469 -6.534 -0.106
Ag 3.985 -2.473 -0.216
Ag 0.631 -7.171 1.980
S 2.181 -3.990 -1.008
S 4.086 -4.421 5.804
S 0.530 -5.223 -4.040
S -0.398 -3.658 -0.857
S 0.486 -7.165 -0.507
S 5.014 -5.987 2.621
S 2.435 -5.655 2.772
S 4.130 -2.480 2.271
```

Properties
**V**: 318.9 Å³/cell
**ΔE_f (raw)**: -1.3793 eV/atom
**Space-group type**: P2_1/m, No. 11


A relaxed structure of PrAgS2, computed with GGA-PBE.

Cell and atoms, written as extended XYZ:
```
4
Lattice="4.028 0.000 0.000 2.014 3.488 0.000 2.014 1.163 6.612" Properties=species:S:1:pos:R:3 pbc="T T T"
Pr 4.028 2.326 3.329
Ag 6.042 3.488 6.506
S 2.014 1.163 5.057
S 2.014 1.163 1.637
```

Properties
**V**: 92.9 Å³/cell
**ΔE_f (raw)**: -1.1344 eV/atom
**Space-group type**: R3m, No. 160


A relaxed structure of PrAgS2, computed with GGA-PBE.

Cell and atoms, written as extended XYZ:
```
16
Lattice="6.989 -0.272 0.000 -1.195 7.133 0.000 0.000 0.000 7.265" Properties=species:S:1:pos:R:3 pbc="T T T"
Pr 5.336 1.224 6.862
Pr 1.056 2.071 3.230
Pr 0.458 5.637 0.403
Pr 4.738 4.791 4.035
Ag 1.218 6.052 4.251
Ag 4.576 0.809 3.014
Ag 3.978 4.375 0.619
Ag 1.816 2.486 6.646
S 0.484 0.048 5.358
S 5.908 3.247 1.726
S 5.310 6.813 1.907
S -0.114 3.614 5.539
S 2.787 1.080 1.136
S 2.189 4.646 2.496
S 3.007 5.781 6.128
S 3.605 2.215 4.769
```

Properties
**V**: 359.8 Å³/cell
**ΔE_f (raw)**: -1.3058 eV/atom
**Space-group type**: P2_1/c, No. 14


Number 1: calculated density 9.55 g/cm3. Number 2: calculated density 7.90 g/cm3. Number 3: calculated density 8.13 g/cm3. Number 4: calculated density 5.39 g/cm3. Number 5: calculated density 5.59 g/cm3. Number 6: calculated density 5.78 g/cm3.